# 1
Computed, not measured: an optimized crystal structure of CuHgOs2 at the PBE level of DFT.

Cell lengths 9.298, 9.298, 9.298 Å; angles 17.23, 17.23, 17.23 degrees
Sites, in units of the cell vectors:
Cu  0.000  0.000  0.000
Hg  0.500  0.500  0.500
Os  0.258  0.258  0.258
Os  0.742  0.742  0.742

Summary:
Formation enthalpy at 0 K: 0.71 eV per atom
Total energy: -6.01 eV/atom
Space-group type: No. 166
Crystal system: trigonal


# 2
Computed, not measured: an optimized crystal structure of CdRh3W at the PBE level of DFT.

Cell lengths 4.721, 4.721, 4.721 Å; angles 90.00, 90.00, 90.00 degrees
Sites, in units of the cell vectors:
Cd  0.000  0.000  0.000
Rh  0.000  0.000  0.500
Rh  0.000  0.500  0.000
Rh  0.500  0.000  0.000
W  0.500  0.500  0.500

Summary:
Formation enthalpy at 0 K: 2.12 eV per atom
Total energy: -5.06 eV/atom
Space-group type: No. 221
Relative energy among the computed polymorphs: 1.230 eV per atom
Crystal system: cubic


# 3
Computed, not measured: an optimized crystal structure of La2PrY4Sc at the PBE level of DFT.

Cell lengths 9.536, 9.536, 6.826 Å; angles 110.96, 110.96, 88.06 degrees
Sites, in units of the cell vectors:
La  0.000  0.000  0.000
La  0.000  0.000  0.500
La  0.000  0.500  0.000
La  0.500  0.000  0.500
Pr  0.000  0.500  0.500
Pr  0.500  0.000  0.000
Y  0.267  0.733  0.501
Y  0.267  0.733  0.999
Y  0.269  0.269  0.020
Y  0.269  0.269  0.520
Y  0.731  0.731  0.480
Y  0.731  0.731  0.980
Y  0.733  0.267  0.001
Y  0.733  0.267  0.499
Sc  0.500  0.500  0.000
Sc  0.500  0.500  0.500

Summary:
Formation enthalpy at 0 K: 0.39 eV per atom
Total energy: -5.46 eV/atom
Space-group type: No. 15
Crystal system: monoclinic


# 4
Computed, not measured: an optimized crystal structure of ScTa2Sb at the PBE level of DFT.

Cell lengths 3.051, 3.051, 9.179 Å; angles 90.00, 90.00, 106.96 degrees
Sites, in units of the cell vectors:
Sc  0.000  0.000  0.000
Ta  0.500  0.500  0.261
Ta  0.500  0.500  0.739
Sb  0.000  0.000  0.500

Summary:
Total energy: -8.33 eV/atom
Space-group type: No. 65
Crystal system: orthorhombic
E_form (uncorrected): 0.21 eV/atom


# 5
Computed, not measured: an optimized crystal structure of Pm3Nd2Al at the PBE level of DFT.

Cell lengths 8.094, 8.094, 4.916 Å; angles 90.00, 90.00, 144.69 degrees
Sites, in units of the cell vectors:
Pm  0.000  0.000  0.000
Pm  0.341  0.659  0.000
Pm  0.659  0.341  0.000
Nd  0.160  0.840  0.500
Nd  0.840  0.160  0.500
Al  0.500  0.500  0.500

Summary:
Formation enthalpy at 0 K: -0.08 eV per atom
Total energy: -4.66 eV/atom
Space-group type: No. 65
Crystal system: orthorhombic


# 6
Computed, not measured: an optimized crystal structure of AsC5 at the PBE level of DFT.

Cell lengths 4.378, 4.378, 4.378 Å; angles 60.00, 60.00, 60.00 degrees
Sites, in units of the cell vectors:
As  0.000  0.000  0.000
C  0.231  0.590  0.590
C  0.250  0.250  0.250
C  0.590  0.231  0.590
C  0.590  0.590  0.231
C  0.590  0.590  0.590

Summary:
Formation enthalpy at 0 K: 3.26 eV per atom
Total energy: -5.20 eV/atom
Space-group type: No. 216
Relative energy among the computed polymorphs: 2.385 eV per atom
Crystal system: cubic


- Which value of total energy does entry 5 give?
  -4.66 eV/atom


- Which of these has the lowest total energy?
  ScTa2Sb


- Which of these has the highest total energy?
  Pm3Nd2Al


- What is the total energy in the first record?
  -6.01 eV/atom